1.
The following is a PBE calculation of crystalline AcPrP2 at its relaxed geometry, from Alexandria via LeMat-Bulk.

Structure (extended XYZ):
```
8
Lattice="4.2813 0.0000 0.0000 -2.1407 3.7077 0.0000 0.0000 0.0000 14.3199" Properties=species:S:1:pos:R:3 pbc="T T T"
Ac 0.0000 2.4718 3.5800
Ac 2.1407 1.2359 10.7399
Pr 0.0000 0.0000 0.0000
Pr 0.0000 0.0000 7.1599
P 0.0000 2.4718 8.8479
P 0.0000 2.4718 12.6319
P 2.1407 1.2359 1.6880
P 2.1407 1.2359 5.4719
```

Properties
The calculation puts the total energy at -0.4683 Ry/atom. The value obtained for the calculated density is 6.280 g cm⁻³. The value obtained for the density of states at the Fermi level is 0.133 states/eV per atom. As for the energy relative to the lowest polymorph listed for this composition: 32 meV per atom. Its space group is P6_3/mmc (194). Its energy of formation is -1.4446 eV per atom.

2.
The following is a PBE calculation of crystalline Zr2MnPb at its relaxed geometry, from Alexandria via LeMat-Bulk.

Structure (extended XYZ):
```
4
Lattice="1.6710 0.9647 8.7652 -1.6710 0.9647 8.7652 0.0000 -1.9295 8.7652" Properties=species:S:1:pos:R:3 pbc="T T T"
Zr 0.0000 0.0000 6.1433
Zr 0.0000 0.0000 20.1522
Mn 0.0000 0.0000 13.1478
Pb 0.0000 0.0000 0.0000
```

Properties
The calculation puts the total energy at -0.5443 Ry/atom. The value obtained for the calculated density is 8.708 g cm⁻³. The value obtained for the density of states at the Fermi level is 0.791 states/eV per atom. Its space group is R-3m (166). Its energy of formation is 0.0878 eV per atom.

3.
The following is a PBE calculation of crystalline PmPr4Ho2Mg at its relaxed geometry, from Alexandria via LeMat-Bulk.

Structure (extended XYZ):
```
8
Lattice="5.8034 0.0000 0.0000 0.0000 5.8117 0.0000 0.0000 0.0000 7.8759" Properties=species:S:1:pos:R:3 pbc="T T T"
Pm 0.0000 0.0000 0.0000
Pr 0.0000 2.9058 2.0978
Pr 0.0000 2.9058 5.7781
Pr 2.9017 0.0000 2.0857
Pr 2.9017 0.0000 5.7902
Ho 0.0000 0.0000 3.9380
Ho 2.9017 2.9058 0.0000
Mg 2.9017 2.9058 3.9380
```

Properties
The calculation puts the total energy at -0.3140 Ry/atom. The value obtained for the calculated density is 6.644 g cm⁻³. The value obtained for the density of states at the Fermi level is 1.428 states/eV per atom. Its space group is Pmmm (47). Its energy of formation is 0.0551 eV per atom.

4.
The following is a PBE calculation of crystalline Tb4Pr2Y2Ho at its relaxed geometry, from Alexandria via LeMat-Bulk.

Structure (extended XYZ):
```
9
Lattice="9.4046 -1.8140 0.0000 9.4046 1.8140 0.0000 -4.1765 0.0000 8.6800" Properties=species:S:1:pos:R:3 pbc="T T T"
Tb -1.0335 0.0000 2.8971
Tb 3.1438 0.0000 5.7654
Tb 11.4888 0.0000 2.9145
Tb 15.6661 0.0000 5.7829
Pr -1.0689 0.0000 8.6779
Pr 15.7015 0.0000 0.0021
Y 5.2398 0.0000 2.9309
Y 9.3928 0.0000 5.7490
Ho 9.4046 0.0000 0.0000
```

Properties
The calculation puts the total energy at -0.3724 Ry/atom. The value obtained for the calculated density is 7.066 g cm⁻³. The value obtained for the density of states at the Fermi level is 1.352 states/eV per atom. Its space group is C2/m (12). Its energy of formation is -0.0011 eV per atom.

5.
The following is a PBE calculation of crystalline NaPm2As4Pt3 at its relaxed geometry, from Alexandria via LeMat-Bulk.

Structure (extended XYZ):
```
10
Lattice="4.4426 0.0000 0.0000 0.0000 4.4426 0.0000 0.0000 0.0000 10.3340" Properties=species:S:1:pos:R:3 pbc="T T T"
Na 0.0000 0.0000 0.0000
Pm 0.0000 2.2213 7.6330
Pm 2.2213 0.0000 2.7010
As 0.0000 0.0000 5.1670
As 0.0000 2.2213 1.4760
As 2.2213 0.0000 8.8580
As 2.2213 2.2213 5.1670
Pt 0.0000 2.2213 3.9540
Pt 2.2213 0.0000 6.3800
Pt 2.2213 2.2213 0.0000
```

Properties
The calculation puts the total energy at -0.4071 Ry/atom. The value obtained for the calculated density is 9.753 g cm⁻³. The value obtained for the density of states at the Fermi level is 0.379 states/eV per atom. Its space group is P-4m2 (115). Its energy of formation is -0.7842 eV per atom.

6.
The following is a PBE calculation of crystalline MnPb at its relaxed geometry, from Alexandria via LeMat-Bulk.

Structure (extended XYZ):
```
4
Lattice="-2.0850 2.0850 5.0124 2.0850 -2.0850 5.0124 2.0850 2.0850 -5.0124" Properties=species:S:1:pos:R:3 pbc="T T T"
Mn 2.0850 1.0425 1.2531
Mn 0.0000 1.0425 3.7593
Pb 2.0850 -1.0425 3.7593
Pb 0.0000 3.1275 1.2531
```

Properties
The calculation puts the total energy at -0.4388 Ry/atom. The value obtained for the calculated density is 9.988 g cm⁻³. The value obtained for the density of states at the Fermi level is 0.490 states/eV per atom. Its space group is I4_1/amd (141). Its energy of formation is 0.4691 eV per atom.

7.
The following is a PBE calculation of crystalline K2SiTc at its relaxed geometry, from Alexandria via LeMat-Bulk.

Structure (extended XYZ):
```
4
Lattice="3.2718 0.0000 0.0000 0.0000 4.3668 0.0000 0.0000 0.0000 5.7808" Properties=species:S:1:pos:R:3 pbc="T T T"
K 0.0000 0.0000 0.0000
K 1.6359 2.1834 0.0000
Si 0.0000 2.1834 2.8904
Tc 1.6359 0.0000 2.8904
```

Properties
The formation energy (no corrections) comes out at 0.974 eV/atom. The calculation puts the total energy at -0.2589 Ry/atom. The value obtained for the calculated density is 4.107 g cm⁻³. The value obtained for the density of states at the Fermi level is 0.523 states/eV per atom. Its space group is Pmmm (47).

8.
The following is a PBE calculation of crystalline ScSbAs at its relaxed geometry, from Alexandria via LeMat-Bulk.

Structure (extended XYZ):
```
3
Lattice="0.0000 3.3856 3.3856 3.3856 0.0000 3.3856 3.3856 3.3856 0.0000" Properties=species:S:1:pos:R:3 pbc="T T T"
Sc 0.0000 0.0000 0.0000
Sb 1.6928 1.6928 1.6928
As 5.0785 5.0785 5.0785
```

Properties
The formation energy (no corrections) comes out at -0.326 eV/atom. The calculation puts the total energy at -0.3940 Ry/atom. The value obtained for the calculated density is 5.170 g cm⁻³. The value obtained for the density of states at the Fermi level is 1.046 states/eV per atom. As for the energy relative to the lowest polymorph listed for this composition: 335 meV per atom. Its space group is F-43m (216).

9.
The following is a PBE calculation of crystalline ScSnMoPd2 at its relaxed geometry, from Alexandria via LeMat-Bulk.

Structure (extended XYZ):
```
5
Lattice="4.8225 0.0000 0.0000 0.0000 4.8225 0.0000 0.0000 0.0000 5.0989" Properties=species:S:1:pos:R:3 pbc="T T T"
Sc 0.0000 0.0000 0.0000
Sn 2.4113 2.4113 0.0000
Mo 2.4113 2.4113 2.5495
Pd 0.0000 2.4113 2.5495
Pd 2.4113 0.0000 2.5495
```

Properties
The calculation puts the total energy at -0.4221 Ry/atom. The value obtained for the calculated density is 6.616 g cm⁻³. The value obtained for the density of states at the Fermi level is 0.851 states/eV per atom. Its space group is P4/mmm (123). Its energy of formation is 0.5673 eV per atom.

10.
The following is a PBE calculation of crystalline CsLaTeH2 at its relaxed geometry, from Alexandria via LeMat-Bulk.

Structure (extended XYZ):
```
5
Lattice="3.6417 -2.1197 0.0000 3.6417 2.1197 0.0000 -2.1495 0.0000 8.4715" Properties=species:S:1:pos:R:3 pbc="T T T"
Cs 0.0000 0.0000 0.0000
La 0.2782 0.0000 3.7717
Te 2.7113 0.0000 5.8422
H 2.6458 0.0000 2.4085
H 5.1228 0.0000 3.4609
```

Properties
The calculation puts the total energy at -0.2842 Ry/atom. The value obtained for the calculated density is 5.097 g cm⁻³. The value obtained for the density of states at the Fermi level is 0.000 states/eV per atom. As for the energy relative to the lowest polymorph listed for this composition: 103 meV per atom. Its space group is Cm (8).

11.
The following is a PBE calculation of crystalline LiNd2Ni2 at its relaxed geometry, from Alexandria via LeMat-Bulk.

Structure (extended XYZ):
```
5
Lattice="1.9885 -7.3721 0.0000 1.9885 7.3721 0.0000 0.0000 0.0000 3.8430" Properties=species:S:1:pos:R:3 pbc="T T T"
Li 0.0000 0.0000 0.0000
Nd 1.9885 2.0766 1.9215
Nd 1.9885 -2.0766 1.9215
Ni 1.9885 4.3933 0.0000
Ni 1.9885 -4.3933 0.0000
```

Properties
The calculation puts the total energy at -0.3542 Ry/atom. The value obtained for the calculated density is 6.084 g cm⁻³. The value obtained for the density of states at the Fermi level is 0.886 states/eV per atom. Its space group is Cmmm (65). Its energy of formation is -0.2173 eV per atom.

Look up the calculated density of the fourth one. 7.066 g cm⁻³

Which formula does entry 5 have? NaPm2As4Pt3